VASP calculation (PBE) on a relaxed structure of Mg2Zn.

The structure belongs to space group P6_3/mmc (No. 194); the cell edges are 5.7639, 5.7639 and 9.1326 Å and the angles 90.00°, 90.00° and 120.00°. The distinct sites, in fractional coordinates, are Mg at (0.0000, 0.0000, 0.0000), Mg at (0.1718, 0.3436, 0.2500) and Zn at (0.3333, 0.6667, 0.5640).



VASP calculation (PBE) on a relaxed structure of NaBe2GaBr.

The structure belongs to space group P4/mmm (No. 123); the cell edges are 4.671, 4.671 and 5.080 Å and the angles 90.00°, 90.00° and 90.00°. The distinct sites, in fractional coordinates, are Na at (0.000, 0.000, 0.000), Be at (0.000, 0.500, 0.500), Ga at (0.500, 0.500, 0.000) and Br at (0.000, 0.000, 0.500).

The calculation puts the energy relative to the elements, uncorrected at 0.896 eV per atom.



VASP calculation (PBE) on a relaxed structure of Zn2TcCl.

The structure belongs to space group I4/mmm (No. 139); the cell edges are 3.688, 3.688 and 9.080 Å and the angles 90.00°, 90.00° and 90.00°. The distinct sites, in fractional coordinates, are Zn at (0.000, 0.500, 0.250), Tc at (0.000, 0.000, 0.000) and Cl at (0.000, 0.000, 0.500).

The relative energy among the computed polymorphs is 0.470 eV/atom. The calculation puts the energy relative to the elements, uncorrected at 0.511 eV per atom.



VASP calculation (PBE) on a relaxed structure of Nd8TeP3Se4.

The structure belongs to space group R-3m (No. 166, hexagonal axes); the cell edges are 8.4913, 8.4913 and 20.8412 Å and the angles 90.00°, 90.00° and 120.00°. The distinct sites, in fractional coordinates, are Nd at (0.0000, 0.0000, 0.2436), Nd at (0.0196, 0.5098, 0.7533), Te at (0.0000, 0.0000, 0.5000), P at (0.0000, 0.5000, 0.5000), Se at (0.0000, 0.0000, 0.0000) and Se at (0.0000, 0.5000, 0.0000).

The calculation puts the energy relative to the elements, uncorrected at -1.728 eV per atom.



VASP calculation (PBE) on a relaxed structure of Mg2CdCl.

The structure belongs to space group Immm (No. 71); the cell edges are 3.278, 6.227 and 9.226 Å and the angles 90.00°, 90.00° and 90.00°. The distinct sites, in fractional coordinates, are Mg at (0.000, 0.000, 0.228), Cd at (0.000, 0.500, 0.000) and Cl at (0.000, 0.500, 0.500).

The relative energy among the computed polymorphs is 0.180 eV/atom. The calculation puts the energy relative to the elements, uncorrected at -0.390 eV per atom.



VASP calculation (PBE) on a relaxed structure of LiPrNdSi.

The structure belongs to space group F-43m (No. 216); the cell edges are 7.323, 7.323 and 7.323 Å and the angles 90.00°, 90.00° and 90.00°. The distinct sites, in fractional coordinates, are Li at (0.000, 0.000, 0.000), Pr at (0.250, 0.250, 0.250), Nd at (0.250, 0.250, 0.750) and Si at (0.000, 0.000, 0.500).

The calculation puts the energy relative to the elements, uncorrected at -0.337 eV per atom.



VASP calculation (PBE) on a relaxed structure of Sc2TlTe.

The structure belongs to space group R3m (No. 160, hexagonal axes); the cell edges are 3.8410, 3.8410 and 24.2255 Å and the angles 90.00°, 90.00° and 120.00°. The distinct sites, in fractional coordinates, are Sc at (0.0000, 0.0000, 0.0000), Sc at (0.0000, 0.0000, 0.1793), Tl at (0.0000, 0.0000, 0.4223) and Te at (0.0000, 0.0000, 0.5907).

The relative energy among the computed polymorphs is 0.063 eV/atom. The calculation puts the energy relative to the elements, uncorrected at -0.586 eV per atom.



VASP calculation (PBE) on a relaxed structure of Y2Mn.

The structure belongs to space group I4_1/amd (No. 141, origin choice 2); the cell edges are 3.406, 3.406 and 27.475 Å and the angles 90.00°, 90.00° and 90.00°. The distinct sites, in fractional coordinates, are Y at (0.000, 0.250, 0.311) and Mn at (0.000, 0.250, 0.875).



VASP calculation (PBE) on a relaxed structure of CsHg2BiRu.

The structure belongs to space group P4/mmm (No. 123); the cell edges are 5.523, 5.523 and 5.195 Å and the angles 90.00°, 90.00° and 90.00°. The distinct sites, in fractional coordinates, are Cs at (0.000, 0.000, 0.000), Hg at (0.000, 0.500, 0.500), Bi at (0.500, 0.500, 0.000) and Ru at (0.500, 0.500, 0.500).



VASP calculation (PBE) on a relaxed structure of Li2Hf2In3.

The structure belongs to space group Cmmm (No. 65); the cell edges are 4.785, 21.096 and 3.033 Å and the angles 90.00°, 90.00° and 90.00°. The distinct sites, in fractional coordinates, are Li at (0.000, 0.068, 0.000), Hf at (0.000, 0.210, 0.000), In at (0.000, 0.349, 0.500) and In at (0.000, 0.500, 0.500).



VASP energy readings, ordered: -3.757, -8.992, -12.716, -99.105, -7.511, -18.234, -20.515, -21.435, -14.486, -32.208 eV per formula unit
D(E_F) readings, ordered: 0.408, 0.426, 0.783, 0.436, 0.342, 0.676, 0.886, 1.302, 0.578, 0.550 states/eV/atom